# 1
Computed, not measured: a PBEsol-optimized structure of MgZn5 at the meta-GGA SCAN level of DFT.

Results
The symmetry is C2/m (12). The value obtained for the spin magnetization is 0.000 μB per atom. Its uncorrected energy is -12.159 eV per atom.

a b c (Å): 9.6439 9.6439 8.7996
angles (deg): 114.39 114.39 29.80
Fractional positions:
Mg1 0.0305 0.0305 0.1996
Mg2 0.2197 0.2197 0.3761
Mg3 0.7803 0.7803 0.6239
Mg4 0.9695 0.9695 0.8004
Zn1 0.0000 0.0000 0.5000
Zn2 0.1169 0.1169 0.7809
Zn3 0.1176 0.6234 0.9651
Zn4 0.1276 0.6214 0.4640
Zn5 0.2475 0.2475 0.7608
Zn6 0.2885 0.2885 0.1262
Zn7 0.3760 0.3760 0.7131
Zn8 0.3766 0.8824 0.0349
Zn9 0.3786 0.8724 0.5360
Zn10 0.4650 0.4650 0.3006
Zn11 0.5000 0.5000 0.0000
Zn12 0.5350 0.5350 0.6994
Zn13 0.6214 0.1276 0.4640
Zn14 0.6234 0.1176 0.9651
Zn15 0.6240 0.6240 0.2869
Zn16 0.7115 0.7115 0.8738
Zn17 0.7525 0.7525 0.2392
Zn18 0.8724 0.3786 0.5360
Zn19 0.8824 0.3766 0.0349
Zn20 0.8831 0.8831 0.2191

***

# 2
Computed, not measured: a PBEsol-optimized structure of Mg5Zn3 at the meta-GGA SCAN level of DFT.

Results
The symmetry is I4/mcm (140). The distance to the lowest polymorph of the same formula is 7 meV per atom. The value obtained for the spin magnetization is 0.000 μB per atom. Its uncorrected energy is -8.291 eV per atom.

a b c (Å): 7.9705 7.9705 7.9705
angles (deg): 96.50 96.50 140.68
Fractional positions:
Mg1 0.0785 0.7810 0.8595
Mg2 0.2190 0.0785 0.2975
Mg3 0.2500 0.7500 0.5000
Mg4 0.2810 0.5785 0.8595
Mg5 0.4215 0.2810 0.7025
Mg6 0.5785 0.7190 0.2975
Mg7 0.7190 0.4215 0.1405
Mg8 0.7500 0.2500 0.5000
Mg9 0.7810 0.9215 0.7025
Mg10 0.9215 0.2190 0.1405
Zn1 0.1643 0.3357 0.5000
Zn2 0.2500 0.2500 0.0000
Zn3 0.3357 0.8357 0.1714
Zn4 0.6643 0.1643 0.8286
Zn5 0.7500 0.7500 0.0000
Zn6 0.8357 0.6643 0.5000

***

# 3
Computed, not measured: a PBEsol-optimized structure of Mg5Zn24 at the meta-GGA SCAN level of DFT.

Results
The symmetry is I-43m (217). The value obtained for the spin magnetization is 0.000 μB per atom. Its uncorrected energy is -12.128 eV per atom.

a b c (Å): 8.2841 8.2841 8.2841
angles (deg): 109.47 109.47 109.47
Fractional positions:
Mg1 0.0000 0.0000 0.0000
Mg2 0.0000 0.0000 0.3721
Mg3 0.0000 0.3721 0.0000
Mg4 0.3721 0.0000 0.0000
Mg5 0.6279 0.6279 0.6279
Zn1 0.0000 0.3225 0.6020
Zn2 0.0000 0.6020 0.3225
Zn3 0.0000 0.6242 0.8089
Zn4 0.0000 0.8089 0.6242
Zn5 0.1847 0.3758 0.3758
Zn6 0.1911 0.1911 0.8153
Zn7 0.1911 0.8153 0.1911
Zn8 0.2795 0.6775 0.6775
Zn9 0.3225 0.0000 0.6020
Zn10 0.3225 0.6020 0.0000
Zn11 0.3758 0.1847 0.3758
Zn12 0.3758 0.3758 0.1847
Zn13 0.3980 0.3980 0.7205
Zn14 0.3980 0.7205 0.3980
Zn15 0.6020 0.0000 0.3225
Zn16 0.6020 0.3225 0.0000
Zn17 0.6242 0.0000 0.8089
Zn18 0.6242 0.8089 0.0000
Zn19 0.6775 0.2795 0.6775
Zn20 0.6775 0.6775 0.2795
Zn21 0.7205 0.3980 0.3980
Zn22 0.8089 0.0000 0.6242
Zn23 0.8089 0.6242 0.0000
Zn24 0.8153 0.1911 0.1911